Density functional theory data (PBE-GGA) for Hf6HO after structural relaxation.

## Properties
Mass density: 13.04 g/cm³
Calculated total energy: -9.25 eV/atom
Magnetic moment: 0.00 Bohr magnetons per cell

```
data_Hf6HO
_chemical_formula_sum 'Hf18 H3 O3'
_cell_length_a 5.5796
_cell_length_b 5.5796
_cell_length_c 15.4162
_cell_angle_alpha 90.00
_cell_angle_beta 90.00
_cell_angle_gamma 120.00
_space_group_name_H-M_alt 'R -3'
_space_group_IT_number 148
_space_group_name_Hall '-R 3'
loop_
_atom_site_label
_atom_site_type_symbol
_atom_site_fract_x
_atom_site_fract_y
_atom_site_fract_z
Hf1 Hf 0.0025 0.3397 0.0811
H1 H 0.0000 0.0000 0.0000
O1 O 0.0000 0.0000 0.5000
```